1.
First-principles (GGA-PBE) data for a relaxed structure of Ho2BSbRh6, as listed in the Alexandria database.

Cell: 6.338 6.344 6.343 Å, 59.98 60.01 90.00°
Fractional positions:
B1 0.500 0.500 0.000
Rh1 0.273 0.727 0.000
Rh2 0.273 0.273 0.454
Rh3 0.728 0.727 0.000
Rh4 0.727 0.727 0.546
Rh5 0.272 0.273 0.000
Rh6 0.727 0.273 0.000
Ho1 0.750 0.250 0.500
Ho2 0.250 0.750 0.500
Sb1 0.000 0.000 0.000

Computed properties:
Formation energy without anion corrections = -0.4784 eV per atom
ρ = 9.9 g/cm³
Space-group type = No. 225

---

2.
First-principles (GGA-PBE) data for a relaxed structure of CsNa2MgSi, as listed in the Alexandria database.

Cell: 5.918 5.918 5.302 Å, 90.00 90.00 90.00°
Fractional positions:
Si1 0.000 0.000 0.000
Mg1 0.000 0.000 0.500
Na1 0.000 0.500 0.000
Na2 0.500 0.000 0.000
Cs1 0.500 0.500 0.500

Computed properties:
Formation energy without anion corrections = 0.1175 eV per atom
ρ = 2.1 g/cm³
Space-group type = No. 123

---

3.
First-principles (GGA-PBE) data for a relaxed structure of CaTbCdRh, as listed in the Alexandria database.

Cell: 5.085 5.085 5.085 Å, 60.00 60.00 60.00°
Fractional positions:
Ca1 0.000 0.000 0.000
Tb1 0.500 0.500 0.500
Rh1 0.750 0.750 0.750
Cd1 0.250 0.250 0.250

Computed properties:
Relative energy among the computed polymorphs = 0.099 eV/atom
ρ = 7.4 g/cm³
Space-group type = No. 216

---

4.
First-principles (GGA-PBE) data for a relaxed structure of RbMnRuCl6, as listed in the Alexandria database.

Cell: 6.412 6.412 7.416 Å, 90.00 90.00 60.00°
Fractional positions:
Cl1 0.626 0.016 0.317
Cl2 0.016 0.358 0.317
Cl3 0.626 0.358 0.683
Cl4 0.358 0.016 0.683
Cl5 0.358 0.626 0.316
Cl6 0.016 0.626 0.683
Rb1 0.000 0.000 0.000
Ru1 0.333 0.333 0.500
Mn1 0.667 0.667 0.500

Computed properties:
Formation energy without anion corrections = -1.0329 eV per atom
ρ = 2.9 g/cm³
Space-group type = No. 149

---

5.
First-principles (GGA-PBE) data for a relaxed structure of CsRbSc2Ti, as listed in the Alexandria database.

Cell: 5.873 5.527 5.873 Å, 90.00 90.00 90.00°
Fractional positions:
Sc1 0.000 0.000 0.500
Sc2 0.500 0.000 0.000
Ti1 0.000 0.500 0.000
Rb1 0.000 0.000 0.000
Cs1 0.500 0.500 0.500

Computed properties:
ρ = 3.1 g/cm³
Space-group type = No. 123
Raw total energy = -2.674 eV per atom

---

6.
First-principles (GGA-PBE) data for a relaxed structure of Fe4Ni15W, as listed in the Alexandria database.

Cell: 3.569 3.569 17.782 Å, 90.00 90.00 90.00°
Fractional positions:
Ni1 0.000 0.500 0.898
Ni2 0.000 0.500 0.302
Ni3 0.500 0.500 0.401
Ni4 0.500 0.500 0.202
Ni5 0.500 0.000 0.302
Ni6 0.500 0.500 0.798
Ni7 0.000 0.500 0.500
Ni8 0.500 0.500 0.000
Ni9 0.000 0.500 0.698
Ni10 0.500 0.000 0.102
Ni11 0.500 0.000 0.698
Ni12 0.500 0.500 0.599
Ni13 0.000 0.500 0.102
Ni14 0.500 0.000 0.898
Ni15 0.500 0.000 0.500
Fe1 0.000 0.000 0.794
Fe2 0.000 0.000 0.598
Fe3 0.000 0.000 0.402
Fe4 0.000 0.000 0.206
W1 0.000 0.000 0.000

Computed properties:
ρ = 9.4 g/cm³
Space-group type = No. 123
Raw total energy = -6.748 eV per atom

---

7.
First-principles (GGA-PBE) data for a relaxed structure of TmGa7Pd2, as listed in the Alexandria database.

Cell: 4.473 6.820 6.820 Å, 95.77 90.00 90.00°
Fractional positions:
Ga1 0.500 0.356 0.113
Ga2 0.500 0.887 0.644
Ga3 0.500 0.113 0.356
Ga4 0.500 0.500 0.500
Ga5 0.000 0.646 0.354
Ga6 0.500 0.644 0.887
Ga7 0.000 0.354 0.646
Pd1 0.500 0.245 0.755
Pd2 0.500 0.755 0.245
Tm1 0.000 0.000 0.000

Computed properties:
ρ = 7.0 g/cm³
Space-group type = No. 65
Raw total energy = -3.830 eV per atom

---

8.
First-principles (GGA-PBE) data for a relaxed structure of Cs2Na6CdHg, as listed in the Alexandria database.

Cell: 9.261 8.380 11.698 Å, 90.00 90.00 90.00°
Fractional positions:
Na1 0.293 0.397 0.500
Na2 0.000 0.765 0.752
Na3 0.793 0.603 0.000
Na4 0.707 0.397 0.500
Na5 0.305 0.064 0.000
Na6 0.695 0.064 0.000
Na7 0.805 0.936 0.500
Na8 0.207 0.603 0.000
Na9 0.500 0.235 0.252
Na10 0.000 0.765 0.248
Na11 0.195 0.936 0.500
Na12 0.500 0.235 0.748
Hg1 0.500 0.089 0.500
Hg2 0.000 0.911 0.000
Cs1 0.500 0.738 0.265
Cs2 0.000 0.262 0.765
Cs3 0.000 0.262 0.235
Cs4 0.500 0.738 0.735
Cd1 0.000 0.605 0.500
Cd2 0.500 0.395 0.000

Computed properties:
ρ = 2.6 g/cm³
Space-group type = No. 59
Raw total energy = -1.126 eV per atom

---

9.
First-principles (GGA-PBE) data for a relaxed structure of SOF2, as listed in the Alexandria database.

Cell: 7.314 5.416 15.059 Å, 82.87 90.00 90.00°
Fractional positions:
F1 0.176 0.864 0.058
F2 0.415 0.666 0.891
F3 0.410 0.230 0.886
F4 0.585 0.334 0.109
F5 0.324 0.864 0.558
F6 0.668 0.701 0.436
F7 0.090 0.230 0.386
F8 0.832 0.701 0.936
F9 0.824 0.136 0.942
F10 0.168 0.299 0.064
F11 0.910 0.770 0.614
F12 0.085 0.666 0.391
F13 0.332 0.299 0.564
F14 0.676 0.136 0.442
F15 0.590 0.770 0.114
F16 0.915 0.334 0.609
O1 0.703 0.494 0.243
O2 0.978 0.029 0.168
O3 0.022 0.971 0.832
O4 0.478 0.971 0.332
O5 0.522 0.029 0.668
O6 0.297 0.506 0.757
O7 0.203 0.506 0.257
O8 0.797 0.494 0.743
S1 0.837 0.952 0.864
S2 0.221 0.466 0.353
S3 0.663 0.952 0.364
S4 0.779 0.534 0.647
S5 0.163 0.048 0.136
S6 0.721 0.534 0.147
S7 0.337 0.048 0.636
S8 0.279 0.466 0.853

Computed properties:
Formation energy without anion corrections = -1.5632 eV per atom
Relative energy among the computed polymorphs = 0.000 eV/atom
ρ = 1.9 g/cm³
Space-group type = No. 14

---

10.
First-principles (GGA-PBE) data for a relaxed structure of Tb2PaSb, as listed in the Alexandria database.

Cell: 3.868 3.868 7.301 Å, 90.00 90.00 90.00°
Fractional positions:
Tb1 0.000 0.000 0.728
Tb2 0.000 0.000 0.272
Sb1 0.500 0.500 0.500
Pa1 0.500 0.500 0.000

Computed properties:
Formation energy without anion corrections = -0.3145 eV per atom
Relative energy among the computed polymorphs = 0.000 eV/atom
ρ = 10.2 g/cm³
Space-group type = No. 123

---

11.
First-principles (GGA-PBE) data for a relaxed structure of BeReAu2, as listed in the Alexandria database.

Cell: 5.444 5.444 5.444 Å, 151.10 129.18 59.52°
Fractional positions:
Re1 0.287 0.787 0.500
Be1 0.499 0.499 0.000
Au1 0.712 0.212 0.500
Au2 0.002 0.002 0.000

Computed properties:
ρ = 16.3 g/cm³
Space-group type = No. 44
Raw total energy = -5.329 eV per atom

---

12.
First-principles (GGA-PBE) data for a relaxed structure of Sb4IrAu, as listed in the Alexandria database.

Cell: 5.995 5.995 5.995 Å, 60.00 60.00 60.00°
Fractional positions:
Sb1 0.375 0.375 0.874
Sb2 0.375 0.375 0.375
Sb3 0.874 0.375 0.375
Sb4 0.375 0.874 0.375
Ir1 0.000 0.000 0.000
Au1 0.750 0.750 0.750

Computed properties:
Formation energy without anion corrections = 0.9907 eV per atom
Relative energy among the computed polymorphs = 1.219 eV/atom
ρ = 9.6 g/cm³
Space-group type = No. 216

---

13.
First-principles (GGA-PBE) data for a relaxed structure of TlGaO2, as listed in the Alexandria database.

Cell: 7.043 7.043 7.043 Å, 25.01 25.01 25.01°
Fractional positions:
Tl1 0.000 0.000 0.000
Ga1 0.500 0.500 0.500
O1 0.118 0.118 0.118
O2 0.882 0.882 0.882

Computed properties:
Formation energy without anion corrections = -1.2078 eV per atom
Relative energy among the computed polymorphs = 0.198 eV/atom
ρ = 9.3 g/cm³
Space-group type = No. 166

---

14.
First-principles (GGA-PBE) data for a relaxed structure of SnBiPb14, as listed in the Alexandria database.

Cell: 8.373 8.373 7.172 Å, 90.00 90.00 89.97°
Fractional positions:
Pb1 0.624 0.624 0.255
Pb2 0.875 0.375 0.500
Pb3 0.126 0.126 0.745
Pb4 0.126 0.126 0.255
Pb5 0.624 0.624 0.745
Pb6 0.875 0.875 0.000
Pb7 0.375 0.375 0.000
Pb8 0.375 0.875 0.000
Pb9 0.126 0.624 0.745
Pb10 0.375 0.875 0.500
Pb11 0.624 0.126 0.255
Pb12 0.875 0.375 0.000
Pb13 0.624 0.126 0.745
Pb14 0.126 0.624 0.255
Sn1 0.375 0.375 0.500
Bi1 0.875 0.875 0.500

Computed properties:
ρ = 10.7 g/cm³
Space-group type = No. 123
Raw total energy = -3.701 eV per atom

---

15.
First-principles (GGA-PBE) data for a relaxed structure of MgGePd, as listed in the Alexandria database.

Cell: 5.404 4.279 5.402 Å, 112.88 91.13 67.12°
Fractional positions:
Pd1 0.339 0.861 0.973
Pd2 0.888 0.313 0.424
Ge1 0.087 0.788 0.573
Ge2 0.488 0.386 0.172
Mg1 0.915 0.587 0.999
Mg2 0.500 0.086 0.584

Computed properties:
ρ = 6.4 g/cm³
Space-group type = No. 5
Raw total energy = -4.290 eV per atom

---

16.
First-principles (GGA-PBE) data for a relaxed structure of Mg4ZnCu2, as listed in the Alexandria database.

Cell: 8.229 8.229 8.229 Å, 134.68 134.68 66.03°
Fractional positions:
Cu1 0.868 0.632 0.500
Cu2 0.368 0.868 0.235
Cu3 0.632 0.132 0.765
Cu4 0.132 0.368 0.500
Mg1 0.471 0.312 0.500
Mg2 0.529 0.688 0.500
Mg3 0.188 0.029 0.500
Mg4 0.029 0.529 0.842
Mg5 0.812 0.971 0.500
Mg6 0.688 0.188 0.158
Mg7 0.312 0.812 0.842
Mg8 0.971 0.471 0.158
Zn1 0.250 0.250 0.000
Zn2 0.750 0.750 0.000

Computed properties:
Relative energy among the computed polymorphs = 0.143 eV/atom
ρ = 3.5 g/cm³
Space-group type = No. 140

---

17.
First-principles (GGA-PBE) data for a relaxed structure of BaLaTe, as listed in the Alexandria database.

Cell: 5.500 5.500 4.698 Å, 90.00 90.00 120.00°
Fractional positions:
Ba1 0.000 0.000 0.999
La1 0.667 0.333 0.500
Te1 0.333 0.667 0.501

Computed properties:
Formation energy without anion corrections = -0.7076 eV per atom
Relative energy among the computed polymorphs = 0.290 eV/atom
ρ = 5.4 g/cm³
Space-group type = No. 156

---

18.
First-principles (GGA-PBE) data for a relaxed structure of AgI2Br4, as listed in the Alexandria database.

Cell: 6.435 7.329 8.213 Å, 55.58 110.25 113.71°
Fractional positions:
Br1 0.253 0.997 0.035
Br2 0.089 0.154 0.204
Br3 0.527 0.782 0.906
Br4 0.670 0.448 0.521
I1 0.620 0.641 0.714
I2 0.917 0.259 0.379
Ag1 0.926 0.718 0.241

Computed properties:
Formation energy without anion corrections = -0.0734 eV per atom
ρ = 3.9 g/cm³
Space-group type = No. 1

---

19.
First-principles (GGA-PBE) data for a relaxed structure of Ge2H4Br3, as listed in the Alexandria database.

Cell: 8.888 7.796 7.796 Å, 86.89 66.32 66.32°
Fractional positions:
H1 0.462 0.946 0.703
H2 0.215 0.133 0.325
H3 0.285 0.675 0.867
H4 0.715 0.325 0.133
H5 0.962 0.703 0.946
H6 0.038 0.297 0.054
H7 0.538 0.054 0.297
H8 0.785 0.867 0.675
Ge1 0.368 0.199 0.276
Ge2 0.632 0.801 0.724
Ge3 0.868 0.276 0.199
Ge4 0.132 0.724 0.801
Br1 0.457 0.255 0.959
Br2 0.543 0.745 0.041
Br3 0.250 0.502 0.498
Br4 0.957 0.959 0.255
Br5 0.750 0.498 0.502
Br6 0.043 0.041 0.745

Computed properties:
ρ = 2.9 g/cm³
Space-group type = No. 15
Raw total energy = -3.149 eV per atom

---

20.
First-principles (GGA-PBE) data for a relaxed structure of Er2ThZr, as listed in the Alexandria database.

Cell: 3.468 3.468 11.240 Å, 81.13 81.13 60.00°
Fractional positions:
Zr1 0.500 0.500 0.499
Th1 0.666 0.666 0.002
Er1 0.246 0.246 0.262
Er2 0.088 0.088 0.737

Computed properties:
Relative energy among the computed polymorphs = 0.000 eV/atom
ρ = 9.5 g/cm³
Space-group type = No. 160

---

21.
First-principles (GGA-PBE) data for a relaxed structure of AlAgRh3, as listed in the Alexandria database.

Cell: 4.469 4.469 4.469 Å, 90.00 90.00 90.00°
Fractional positions:
Rh1 0.500 0.000 0.000
Rh2 0.000 0.000 0.500
Rh3 0.000 0.500 0.000
Ag1 0.500 0.500 0.500
Al1 0.000 0.000 0.000

Computed properties:
Relative energy among the computed polymorphs = 0.000 eV/atom
ρ = 8.3 g/cm³
Space-group type = No. 221

---

22.
First-principles (GGA-PBE) data for a relaxed structure of CaTcNi, as listed in the Alexandria database.

Cell: 2.953 2.953 6.805 Å, 90.00 90.00 120.00°
Fractional positions:
Tc1 0.333 0.667 0.633
Ni1 0.667 0.333 0.362
Ca1 0.000 0.000 0.005

Computed properties:
Relative energy among the computed polymorphs = 0.368 eV/atom
ρ = 6.4 g/cm³
Space-group type = No. 156

---

23.
First-principles (GGA-PBE) data for a relaxed structure of BaSrCuRu2, as listed in the Alexandria database.

Cell: 5.052 6.110 5.052 Å, 90.00 90.00 90.00°
Fractional positions:
Sr1 0.000 0.500 0.000
Ru1 0.000 0.000 0.500
Ru2 0.500 0.000 0.000
Cu1 0.500 0.500 0.500
Ba1 0.000 0.000 0.000

Computed properties:
ρ = 5.2 g/cm³
Space-group type = No. 123
Raw total energy = -3.254 eV per atom